(1)
Material: Rb4Dy3HoTe8
Method: DFT, PBE-GGA
State: optimized geometry

POSCAR file:
```
Rb4Dy3HoTe8
1.0
4.522 2.611 8.552
-4.522 2.611 8.552
0.000 -5.222 8.552
Rb Dy Ho Te
4 3 1 8
Cartesian
0.000 0.000 0.000 Rb
-2.261 -1.305 8.552 Rb
-2.261 1.305 17.105 Rb
0.000 2.611 8.552 Rb
-4.522 0.000 12.828 Dy
-2.261 1.305 4.276 Dy
2.261 1.305 4.276 Dy
0.000 0.000 12.828 Ho
0.000 0.000 5.980 Te
-2.255 -1.302 14.529 Te
0.000 -2.604 11.128 Te
-2.255 1.302 11.128 Te
2.255 -1.302 14.529 Te
0.000 2.604 14.529 Te
2.255 1.302 11.128 Te
0.000 0.000 19.677 Te
```

Energy in hartree per atom: -0.15964
E_form (uncorrected) in eV/atom: -1.38
Spin magnetization in μB/cell: 0.00



(2)
Material: SrAlI
Method: DFT, PBE-GGA
State: optimized geometry

POSCAR file:
```
SrAlI
1.0
4.569 0.000 0.000
2.283 3.958 0.000
1.707 1.070 12.915
Sr Al I
2 2 2
Cartesian
0.853 0.535 4.038 Sr
7.707 4.493 8.877 Sr
3.137 1.855 6.440 Al
5.422 3.174 6.474 Al
3.139 1.855 10.824 I
5.421 3.174 2.091 I
```

Energy in hartree per atom: -0.11919
E_form (uncorrected) in eV/atom: -0.92
Spin magnetization in μB/cell: 0.00



(3)
Material: Rb2Tl2Pt
Method: DFT, PBE-GGA
State: optimized geometry

POSCAR file:
```
Rb2Tl2Pt
1.0
7.453 0.000 0.000
0.000 7.453 0.000
0.000 0.000 6.264
Rb Tl Pt
4 4 2
Cartesian
1.363 2.363 0.000 Rb
2.363 6.090 0.000 Rb
5.090 1.363 0.000 Rb
6.090 5.090 0.000 Rb
1.158 4.885 3.132 Tl
2.569 1.158 3.132 Tl
4.885 6.295 3.132 Tl
6.295 2.569 3.132 Tl
0.000 0.000 3.132 Pt
3.727 3.727 3.132 Pt
```

Energy in hartree per atom: -0.09432
Energy relative to the elements in eV/atom: -0.025
Excess energy over the best structure of this formula in the dataset in eV per atom: 0.099
Spin magnetization in μB/cell: 0.00



(4)
Material: SnAs2AuS
Method: DFT, PBE-GGA
State: optimized geometry

POSCAR file:
```
SnAs2AuS
1.0
5.315 0.000 0.000
0.000 5.315 0.000
0.000 0.000 5.076
Sn As Au S
1 2 1 1
Cartesian
0.000 0.000 0.000 Sn
0.000 2.658 0.000 As
2.658 0.000 0.000 As
0.000 0.000 2.538 Au
2.658 2.658 2.538 S
```

Energy in hartree per atom: -0.11281
E_form (uncorrected) in eV/atom: 1.07
Spin magnetization in μB/cell: 0.77



(5)
Material: Pm12Ni6Au
Method: DFT, PBE-GGA
State: optimized geometry

POSCAR file:
```
Pm12Ni6Au
1.0
6.412 3.702 3.795
-6.412 3.702 3.795
0.000 -7.404 3.795
Pm Ni Au
12 6 1
Cartesian
-5.394 -1.311 6.259 Pm
-1.562 -5.326 5.124 Pm
-2.496 -0.297 4.405 Pm
-3.832 4.016 5.124 Pm
1.505 -2.013 4.405 Pm
-0.991 -2.310 6.979 Pm
0.991 2.310 4.405 Pm
-1.505 2.013 6.979 Pm
3.832 -4.016 6.259 Pm
2.496 0.297 6.979 Pm
1.562 5.326 6.259 Pm
5.394 1.311 5.124 Pm
-1.127 -2.855 4.028 Ni
-1.909 2.403 4.028 Ni
-3.036 -0.452 7.356 Ni
3.036 0.452 4.028 Ni
1.909 -2.403 7.356 Ni
1.127 2.855 7.356 Ni
0.000 0.000 0.000 Au
```

Energy in hartree per atom: -0.18903
Energy relative to the elements in eV/atom: -0.145
Excess energy over the best structure of this formula in the dataset in eV per atom: 0.154
Spin magnetization in μB/cell: 0.00



(6)
Material: Ag2Os2Pd
Method: DFT, PBE-GGA
State: optimized geometry

POSCAR file:
```
Ag2Os2Pd
1.0
-1.838 1.838 6.499
1.838 -1.838 6.499
1.838 1.838 -6.499
Ag Os Pd
2 2 1
Cartesian
1.838 0.000 3.249 Ag
0.000 1.838 3.249 Ag
0.000 0.000 1.154 Os
0.000 0.000 11.844 Os
0.000 0.000 6.499 Pd
```

Energy in hartree per atom: -0.20277
Energy relative to the elements in eV/atom: 1.153
Excess energy over the best structure of this formula in the dataset in eV per atom: 0.204
Spin magnetization in μB/cell: 0.00